ThSc2Fe | PBE | relaxed

Mass density (g/cm³): 6.9
Total moment (Bohr magnetons per cell): 0.00
Formation energy from the elements (eV per atom): -0.0923
Distance to the lowest polymorph of the same formula (eV per atom): 0.042
Volume (Å³/cell): 362.0

Cell lengths 3.5782, 11.3267, 8.9328 Å; angles 90.00, 90.00, 90.00 degrees
Closest atoms and distances in Å follow each position.
Space group Cmcm (No. 63)
One atom of each set of equivalent atoms:
Th 0.0000 0.0762 0.2500 [4 per cell]  2 Fe 2.56
Sc 0.0000 0.3515 0.0736 [8 per cell]  2 Fe 2.71
Fe 0.0000 0.2615 0.7500 [4 per cell]  2 Th 2.56, 4 Sc 2.71


CrFeMo2 | PBE | relaxed

Mass density (g/cm³): 9.0
Total moment (Bohr magnetons per cell): 3.75
Formation energy from the elements (eV per atom): 0.3008
Distance to the lowest polymorph of the same formula (eV per atom): 0.201
Volume (Å³/cell): 110.5

Cell lengths 3.6410, 3.6410, 8.3344 Å; angles 90.00, 90.00, 90.00 degrees
Closest atoms and distances in Å follow each position.
Space group I-4m2 (No. 119)
One atom of each set of equivalent atoms:
Cr 0.0000 0.0000 0.0000 [2 per cell]  8 Mo 2.57-2.77, 4 Fe 2.77
Fe 0.0000 0.5000 0.7500 [2 per cell]  8 Mo 2.57-2.77, 4 Cr 2.77
Mo 0.0000 0.0000 0.5000 [2 per cell]  4 Cr 2.57, 4 Fe 2.77, 4 Mo 2.77
Mo 0.0000 0.5000 0.2500 [2 per cell]  4 Fe 2.57, 4 Cr 2.77, 4 Mo 2.77


LaPrHg2 | PBE | relaxed

Mass density (g/cm³): 9.6
Total moment (Bohr magnetons per cell): 0.83
Formation energy from the elements (eV per atom): -0.4876
Distance to the lowest polymorph of the same formula (eV per atom): 0.002
Volume (Å³/cell): 117.6

Cell lengths 5.4830, 5.4830, 3.9101 Å; angles 90.00, 90.00, 90.00 degrees
Closest atoms and distances in Å follow each position.
Space group P4/mmm (No. 123)
One atom of each set of equivalent atoms:
La 0.0000 0.0000 0.0000 [1 per cell]  8 Hg 3.37
Pr 0.5000 0.5000 0.0000 [1 per cell]  8 Hg 3.37
Hg 0.0000 0.5000 0.5000 [2 per cell]  4 La 3.37, 4 Pr 3.37


LaIn2PdW | PBE | relaxed

Mass density (g/cm³): 6.3
Total moment (Bohr magnetons per cell): 1.06
Formation energy from the elements (eV per atom): 1.8298
Volume (Å³/cell): 172.6

Cell lengths 5.9199, 5.9199, 4.9245 Å; angles 90.00, 90.00, 90.00 degrees
Closest atoms and distances in Å follow each position.
Space group P4/mmm (No. 123)
One atom of each set of equivalent atoms:
La 0.0000 0.0000 0.0000 [1 per cell]  2 W 2.46
In 0.0000 0.5000 0.0000 [2 per cell]  2 La 2.96
Pd 0.5000 0.5000 0.5000 [1 per cell]  8 In 3.85, 4 W 4.19
W 0.0000 0.0000 0.5000 [1 per cell]  2 La 2.46


LaFe2W | PBE | relaxed

Mass density (g/cm³): 10.2
Total moment (Bohr magnetons per cell): 3.80
Formation energy from the elements (eV per atom): 0.3921
Distance to the lowest polymorph of the same formula (eV per atom): 0.140
Volume (Å³/cell): 70.4

Cell lengths 3.1019, 3.1019, 7.3161 Å; angles 90.00, 90.00, 90.00 degrees
Closest atoms and distances in Å follow each position.
Space group P4mm (No. 99)
One atom of each set of equivalent atoms:
La 0.0000 0.0000 0.0000 [1 per cell]  4 La 3.10, 4 Fe 3.19, 4 W 3.30
Fe 0.0000 0.0000 0.5132 [1 per cell]  4 Fe 2.52, 4 W 2.55
Fe 0.5000 0.5000 0.6833 [1 per cell]  4 Fe 2.52, 1 W 2.54
W 0.5000 0.5000 0.3366 [1 per cell]  5 Fe 2.54-2.55


PmDy3Sc3 | PBE | relaxed

Mass density (g/cm³): 6.1
Total moment (Bohr magnetons per cell): 0.00
Formation energy from the elements (eV per atom): 0.1857
Distance to the lowest polymorph of the same formula (eV per atom): 0.000
Volume (Å³/cell): 1262.3

Cell lengths 8.3388, 8.3388, 20.9612 Å; angles 90.00, 90.00, 120.00 degrees
Closest atoms and distances in Å follow each position.
Space group R-3 (No. 148, hexagonal axes)
One atom of each set of equivalent atoms:
Pm 0.0000 0.0000 0.1513 [6 per cell]  6 Sc 3.42-3.70, 6 Dy 3.53-3.60
Dy 0.0528 0.6035 0.3807 [18 per cell]  4 Sc 3.19-3.48, 2 Dy 3.48, 1 Pm 3.53
Sc 0.0058 0.7808 0.5571 [18 per cell]  4 Sc 3.03-3.21, 3 Dy 3.19-3.32


Pu4As3H2 | PBE | relaxed

Mass density (g/cm³): 11.1
VASP energy (eV for the cell shown): -169.69
Total moment (Bohr magnetons per cell): 42.00
Volume (Å³/cell): 360.8

Cell lengths 14.3728, 3.9173, 6.8956 Å; angles 90.00, 111.67, 90.00 degrees
Closest atoms and distances in Å follow each position.
Space group C2/m (No. 12)
One atom of each set of equivalent atoms:
Pu 0.0152 0.0000 0.2175 [4 per cell]  1 H 2.41
Pu 0.2157 0.5000 0.7029 [4 per cell]  3 H 2.34-2.39
As 0.0000 0.5000 0.5000 [2 per cell]  6 Pu 2.83-2.89
As 0.1366 0.5000 0.0616 [4 per cell]  7 Pu 2.90-3.08, 1 H 3.25
H 0.1796 0.0000 0.4887 [4 per cell]  4 Pu 2.34-2.41


Ce2Pb2S7 | PBE | relaxed

Energy relative to the elements, uncorrected (eV/f.u.): -11.99
Mass density (g/cm³): 5.3
Total moment (Bohr magnetons per cell): 0.52
Volume (Å³/cell): 577.7

Cell lengths 4.1775, 15.1424, 9.1320 Å; angles 90.00, 90.00, 90.00 degrees
Closest atoms and distances in Å follow each position.
Space group Imm2 (No. 44)
One atom of each set of equivalent atoms:
Ce 0.0000 0.0000 0.0000 [2 per cell]  7 S 2.72-2.94
Ce 0.0000 0.5000 0.0154 [2 per cell]  8 S 2.75-2.87
Pb 0.0000 0.1974 0.2708 [4 per cell]  3 S 2.76-3.01
S 0.0000 0.0000 0.3092 [2 per cell]  3 Ce 2.81-2.82, 2 Pb 3.01
S 0.0000 0.0686 0.6988 [4 per cell]  1 S 2.08
S 0.0000 0.3205 0.9668 [4 per cell]  1 Ce 2.75, 2 Pb 2.76
S 0.0000 0.3856 0.5208 [4 per cell]  2 Ce 2.72


Which value of total moment does entry 6 give? 0.00 Bohr magnetons per cell


The lowest mass density belongs to which entry? Ce2Pb2S7